VASP calculation (GGA-PBE) on a relaxed structure of Ca2TaBiO6.

Cell lengths 5.7113, 5.7113, 5.1419 Å; angles 90.00, 90.00, 90.00 degrees
Closest atoms and distances in Å follow each position.
Fractional coordinates of all 10 atoms:
Ca 0.0000 0.5000 0.0000  4 O 2.37
Ca 0.5000 0.0000 0.0000  4 O 2.37
Ta 0.0000 0.0000 0.6347  5 O 1.85-1.97
Bi 0.5000 0.5000 0.5942  5 O 2.14-2.34
O 0.0000 0.0000 0.2755  1 Ta 1.85
O 0.2302 0.2302 0.7609  1 Ta 1.97
O 0.2302 0.7698 0.7609  1 Ta 1.97
O 0.5000 0.5000 0.1775  1 Bi 2.14
O 0.7698 0.2302 0.7609  1 Ta 1.97
O 0.7698 0.7698 0.7609  1 Ta 1.97

Output
- Crystal system: tetragonal
- Formation energy (no corrections): -2.4345 eV per atom